The following is a DFT calculation (GGA+U) of an optimized crystal structure of LaCoF3.

a b c (Å): 4.156 4.156 4.156
angles (deg): 90.00 90.00 90.00
Fractional positions:
La 0.000 0.000 0.000
Co 0.500 0.500 0.500
F 0.000 0.500 0.500
F 0.500 0.000 0.500
F 0.500 0.500 0.000

Computed properties:
The calculation puts the magnetic moment at 2.7 Bohr magnetons per cell. Its crystal system is cubic. The density of states at the Fermi level comes out at 0.732 states/eV per atom. As for the energy above the most stable polymorph in this dataset: 316 meV per atom. For the total energy, the calculation gives -26.51 eV for the cell shown.